[1]
Ba5SmO6 | Alexandria via LeMat-Bulk | PBE-GGA | relaxed; spin magnetization = 0.0 Bohr magnetons per cell; symmetry = C2/m, No. 12; calculated total energy = -0.45736 Ry/atom; formation energy (no corrections) = -2.549 eV per atom; crystal system = monoclinic
1.0
3.3616 -5.8317 0.0000
3.3616 5.8317 0.0000
-2.2236 0.0000 6.3155
Ba Sm O
5 1 6
Direct
0.0000 0.0000 0.0000 Ba
0.1673 0.8327 0.5000 Ba
0.3347 0.6653 0.0000 Ba
0.6653 0.3347 0.0000 Ba
0.8327 0.1673 0.5000 Ba
0.5000 0.5000 0.5000 Sm
0.1303 0.4246 0.2756 O
0.2814 0.2814 0.7307 O
0.4246 0.1303 0.2756 O
0.5754 0.8697 0.7244 O
0.7186 0.7186 0.2693 O
0.8697 0.5754 0.7244 O

[2]
AgP2W | Alexandria via LeMat-Bulk | PBE-GGA | relaxed; spin magnetization = 0.0 Bohr magnetons per cell; formation energy = 0.49 eV per atom; symmetry = P4mm, No. 99; calculated total energy = -0.45289 Ry/atom; distance to the lowest polymorph of the same formula = 472 meV/atom; crystal system = tetragonal
1.0
2.9363 0.0000 0.0000
0.0000 2.9363 0.0000
0.0000 0.0000 7.7034
Ag P W
1 2 1
Direct
0.0000 0.0000 0.0000 Ag
0.0000 0.0000 0.5506 P
0.5000 0.5000 0.2474 P
0.5000 0.5000 0.7219 W

[3]
KSrSi2 | Alexandria via LeMat-Bulk | PBE-GGA | relaxed; spin magnetization = 0.0 Bohr magnetons per cell; symmetry = Fm-3m, No. 225; calculated total energy = -0.22775 Ry/atom; distance to the lowest polymorph of the same formula = 486 meV/atom; formation energy (no corrections) = 0.308 eV per atom; crystal system = cubic
1.0
0.0000 3.8287 3.8287
3.8287 0.0000 3.8287
3.8287 3.8287 0.0000
K Sr Si
1 1 2
Direct
0.0000 0.0000 0.0000 K
0.5000 0.5000 0.5000 Sr
0.2500 0.2500 0.2500 Si
0.7500 0.7500 0.7500 Si

[4]
KNaCd2Au2 | Alexandria via LeMat-Bulk | PBE-GGA | relaxed; spin magnetization = 0.0 Bohr magnetons per cell; formation energy = -0.27 eV per atom; symmetry = P-3m1, No. 164; calculated total energy = -0.15204 Ry/atom; crystal system = trigonal
1.0
4.9038 0.0000 0.0000
-2.4519 4.2469 0.0000
0.0000 0.0000 7.8145
K Na Cd Au
1 1 2 2
Direct
0.0000 0.0000 0.0000 K
0.0000 0.0000 0.5000 Na
0.3333 0.6667 0.3125 Cd
0.6667 0.3333 0.6875 Cd
0.3333 0.6667 0.6988 Au
0.6667 0.3333 0.3012 Au

[5]
Tm2PuHg | Alexandria via LeMat-Bulk | PBE-GGA | relaxed; spin magnetization = 6.5 Bohr magnetons per cell; formation energy = -0.09 eV per atom; symmetry = R3m, No. 160; calculated total energy = -0.43960 Ry/atom; distance to the lowest polymorph of the same formula = 61 meV/atom; crystal system = trigonal
1.0
1.7687 1.0211 10.3040
-1.7687 1.0211 10.3040
0.0000 -2.0423 10.3040
Tm Pu Hg
2 1 1
Direct
0.0000 0.0000 0.0000 Tm
0.1789 0.1789 0.1789 Tm
0.7562 0.7562 0.7562 Pu
0.5896 0.5896 0.5896 Hg

[6]
NbAl2W | Alexandria via LeMat-Bulk | PBE-GGA | relaxed; spin magnetization = 0.0 Bohr magnetons per cell; formation energy = 0.13 eV per atom; symmetry = Fm-3m, No. 225; calculated total energy = -0.55111 Ry/atom; distance to the lowest polymorph of the same formula = 0 meV/atom; crystal system = cubic
1.0
0.0000 3.1775 3.1775
3.1775 0.0000 3.1775
3.1775 3.1775 0.0000
Nb Al W
1 2 1
Direct
0.0000 0.0000 0.0000 Nb
0.2500 0.2500 0.2500 Al
0.7500 0.7500 0.7500 Al
0.5000 0.5000 0.5000 W

[7]
CuSbMoPt2 | Alexandria via LeMat-Bulk | PBE-GGA | relaxed; spin magnetization = 2.3 Bohr magnetons per cell; symmetry = P4/mmm, No. 123; calculated total energy = -0.35551 Ry/atom; formation energy (no corrections) = 1.389 eV per atom; crystal system = tetragonal
1.0
4.9174 0.0000 0.0000
0.0000 4.9174 0.0000
0.0000 0.0000 5.0525
Cu Sb Mo Pt
1 1 1 2
Direct
0.0000 0.0000 0.0000 Cu
0.5000 0.5000 0.5000 Sb
0.5000 0.5000 0.0000 Mo
0.0000 0.5000 0.5000 Pt
0.5000 0.0000 0.5000 Pt

[8]
LaNdBN2 | Alexandria via LeMat-Bulk | PBE-GGA | relaxed; spin magnetization = 0.0 Bohr magnetons per cell; symmetry = P2/c, No. 13; calculated total energy = -0.54962 Ry/atom; formation energy (no corrections) = -0.873 eV per atom; crystal system = monoclinic
1.0
5.9305 0.0000 0.0000
0.0000 4.1455 0.0000
-2.0932 0.0000 7.3998
La Nd B N
2 2 2 4
Direct
0.0000 0.0008 0.2500 La
0.0000 0.9992 0.7500 La
0.5000 0.4995 0.7500 Nd
0.5000 0.5005 0.2500 Nd
0.5000 0.0000 0.0000 B
0.5000 0.0000 0.5000 B
0.3018 0.0006 0.0626 N
0.3018 0.9994 0.5626 N
0.6982 0.0006 0.4374 N
0.6982 0.9994 0.9374 N

[9]
LaPIr2 | Alexandria via LeMat-Bulk | PBE-GGA | relaxed; spin magnetization = 0.0 Bohr magnetons per cell; formation energy = -0.03 eV per atom; symmetry = C2/m, No. 12; calculated total energy = -0.51786 Ry/atom; crystal system = monoclinic
1.0
2.8892 -4.8977 0.0000
2.8892 4.8977 0.0000
-1.4993 0.0000 2.5466
La P Ir
1 1 2
Direct
0.0000 0.0000 0.0000 La
0.5000 0.5000 0.0000 P
0.0000 0.5000 0.0000 Ir
0.5000 0.0000 0.0000 Ir

[10]
Ti2SnSe | Alexandria via LeMat-Bulk | PBE-GGA | relaxed; spin magnetization = 1.3 Bohr magnetons per cell; symmetry = Fm-3m, No. 225; calculated total energy = -0.44768 Ry/atom; distance to the lowest polymorph of the same formula = 301 meV/atom; formation energy (no corrections) = -0.272 eV per atom; crystal system = cubic
1.0
0.0000 3.3390 3.3390
3.3390 0.0000 3.3390
3.3390 3.3390 0.0000
Ti Sn Se
2 1 1
Direct
0.2500 0.2500 0.2500 Ti
0.7500 0.7500 0.7500 Ti
0.0000 0.0000 0.0000 Sn
0.5000 0.5000 0.5000 Se

[11]
AcHoPuO6 | Alexandria via LeMat-Bulk | PBE-GGA | relaxed; spin magnetization = 4.0 Bohr magnetons per cell; symmetry = P-31c, No. 163; calculated total energy = -0.65923 Ry/atom; formation energy (no corrections) = -3.106 eV per atom; crystal system = trigonal
1.0
5.8032 0.0000 0.0000
-2.9016 5.0257 0.0000
0.0000 0.0000 10.3333
Ac Ho Pu O
2 2 2 12
Direct
0.0000 0.0000 0.0000 Ac
0.0000 0.0000 0.5000 Ac
0.3333 0.6667 0.2500 Ho
0.6667 0.3333 0.7500 Ho
0.3333 0.6667 0.7500 Pu
0.6667 0.3333 0.2500 Pu
0.0236 0.3728 0.6417 O
0.0236 0.6508 0.8584 O
0.3492 0.3728 0.8584 O
0.3492 0.9764 0.6417 O
0.3728 0.0236 0.1416 O
0.3728 0.3492 0.3584 O
0.6272 0.6508 0.6417 O
0.6272 0.9764 0.8584 O
0.6508 0.0236 0.3584 O
0.6508 0.6272 0.1416 O
0.9764 0.3492 0.1416 O
0.9764 0.6272 0.3584 O

[12]
Ti3GaGe2 | Alexandria via LeMat-Bulk | PBE-GGA | relaxed; spin magnetization = 0.0 Bohr magnetons per cell; formation energy = -0.36 eV per atom; symmetry = Immm, No. 71; calculated total energy = -0.46684 Ry/atom; distance to the lowest polymorph of the same formula = 69 meV/atom; crystal system = orthorhombic
1.0
-1.8197 2.6005 5.5727
1.8197 -2.6005 5.5727
1.8197 2.6005 -5.5727
Ti Ga Ge
3 1 2
Direct
0.0000 0.0000 0.0000 Ti
0.3276 0.3276 0.0000 Ti
0.6724 0.6724 0.0000 Ti
0.5000 0.0000 0.5000 Ga
0.1655 0.6655 0.5000 Ge
0.8345 0.3345 0.5000 Ge

Copy entry 5 word for word.
Tm2PuHg | Alexandria via LeMat-Bulk | PBE-GGA | relaxed; spin magnetization = 6.5 Bohr magnetons per cell; formation energy = -0.09 eV per atom; symmetry = R3m, No. 160; calculated total energy = -0.43960 Ry/atom; distance to the lowest polymorph of the same formula = 61 meV/atom; crystal system = trigonal
1.0
1.7687 1.0211 10.3040
-1.7687 1.0211 10.3040
0.0000 -2.0423 10.3040
Tm Pu Hg
2 1 1
Direct
0.0000 0.0000 0.0000 Tm
0.1789 0.1789 0.1789 Tm
0.7562 0.7562 0.7562 Pu
0.5896 0.5896 0.5896 Hg